Entry 1
LaHgRu3: optimized geometry, PBE.

As for the calculated density: 9.11 Mg/m³. The value obtained for the spin magnetization is 0.7821 μB per atom.

a b c (Å): 4.8939 4.8939 4.8939
angles (deg): 90.00 90.00 90.00
Space group Pm-3m (No. 221)
One atom of each set of equivalent atoms:
La 0.0000 0.0000 0.0000 [1 per cell]
Hg 0.5000 0.5000 0.5000 [1 per cell]
Ru 0.0000 0.0000 0.5000 [3 per cell]

***

Entry 2
LaHgRu3: optimized geometry, PBE.

As for the calculated density: 8.65 Mg/m³. The value obtained for the spin magnetization is 0.8479 μB per atom.

a b c (Å): 4.9776 4.9776 4.9776
angles (deg): 90.00 90.00 90.00
Space group Pm-3m (No. 221)
One atom of each set of equivalent atoms:
La 0.0000 0.0000 0.0000 [1 per cell]
Hg 0.5000 0.5000 0.5000 [1 per cell]
Ru 0.0000 0.5000 0.5000 [3 per cell]

***

Relative energies, meV per atom: entry 1 290; entry 2 0.

***

Entry 1
La4Hg2Ru: optimized geometry, PBE.

As for the calculated density: 8.16 Mg/m³. The value obtained for the spin magnetization is 0.0000 μB per atom.

a b c (Å): 6.4787 6.8383 9.9846
angles (deg): 90.00 103.18 90.00
Space group P2_1/m (No. 11)
One atom of each set of equivalent atoms:
La 0.1907 0.2500 0.0997 [2 per cell]
La 0.2380 0.5017 0.7493 [4 per cell]
La 0.3041 0.7500 0.4129 [2 per cell]
Hg 0.1670 0.2500 0.4492 [2 per cell]
Hg 0.3692 0.7500 0.0427 [2 per cell]
Ru 0.0274 0.7500 0.1713 [2 per cell]

***

Entry 2
La4Hg2Ru: optimized geometry, PBE.

As for the calculated density: 7.56 Mg/m³. The value obtained for the spin magnetization is 0.0000 μB per atom.

a b c (Å): 5.4071 5.4071 15.8996
angles (deg): 90.00 90.00 90.00
Space group I4/mmm (No. 139)
One atom of each set of equivalent atoms:
La 0.0000 0.0000 0.1814 [4 per cell]
La 0.0000 0.5000 0.0000 [4 per cell]
Hg 0.0000 0.0000 0.3761 [4 per cell]
Ru 0.0000 0.0000 0.0000 [2 per cell]

***

Relative energies, meV per atom: entry 1 0; entry 2 26.

***

Entry 1
La5HgRu: optimized geometry, PBE.

As for the calculated density: 7.44 Mg/m³. The value obtained for the spin magnetization is 0.0000 μB per atom.

a b c (Å): 10.2117 7.4938 12.2031
angles (deg): 90.00 107.86 90.00
Space group C2/c (No. 15)
One atom of each set of equivalent atoms:
La 0.0000 0.0158 0.2500 [4 per cell]
La 0.1189 0.3238 0.5535 [8 per cell]
La 0.2370 0.1858 0.1331 [8 per cell]
Hg 0.0000 0.4407 0.2500 [4 per cell]
Ru 0.0000 0.0000 0.0000 [4 per cell]

***

Entry 2
La5HgRu: optimized geometry, PBE.

As for the calculated density: 7.78 Mg/m³. The value obtained for the spin magnetization is 0.0000 μB per atom.

a b c (Å): 5.0636 5.0636 8.2941
angles (deg): 90.00 90.00 90.00
Space group P4/mmm (No. 123)
One atom of each set of equivalent atoms:
La 0.0000 0.0000 0.0000 [1 per cell]
La 0.0000 0.5000 0.3012 [4 per cell]
Hg 0.5000 0.5000 0.0000 [1 per cell]
Ru 0.0000 0.0000 0.5000 [1 per cell]

***

Relative energies, meV per atom: entry 1 0; entry 2 26.

***

Entry 1
La4HgRu: optimized geometry, PBE.

As for the calculated density: 8.21 Mg/m³. The value obtained for the spin magnetization is 0.1941 μB per atom.

a b c (Å): 8.8511 8.8511 8.8511
angles (deg): 90.00 90.00 90.00
Space group F-43m (No. 216)
One atom of each set of equivalent atoms:
La 0.1239 0.1239 0.1239 [16 per cell]
Hg 0.0000 0.0000 0.5000 [4 per cell]
Ru 0.2500 0.2500 0.7500 [4 per cell]

***

Entry 2
La4HgRu: optimized geometry, PBE.

As for the calculated density: 7.97 Mg/m³. The value obtained for the spin magnetization is 0.0000 μB per atom.

a b c (Å): 14.1880 14.1880 14.1880
angles (deg): 90.00 90.00 90.00
Space group F-43m (No. 216)
One atom of each set of equivalent atoms:
La 0.0000 0.0000 0.1898 [24 per cell]
La 0.0584 0.2500 0.2500 [24 per cell]
La 0.1527 0.1527 0.6527 [16 per cell]
Hg 0.0826 0.0826 0.4174 [16 per cell]
Ru 0.1371 0.1371 0.8629 [16 per cell]

***

Entry 3
La4HgRu: optimized geometry, PBE.

As for the calculated density: 6.95 Mg/m³. The value obtained for the spin magnetization is 0.0000 μB per atom.

a b c (Å): 9.3786 15.1121 7.0218
angles (deg): 90.00 124.61 90.00
Space group C2/c (No. 15)
One atom of each set of equivalent atoms:
La 0.1568 0.2124 0.1579 [8 per cell]
La 0.2301 0.0416 0.7266 [8 per cell]
Hg 0.0000 0.3818 0.7500 [4 per cell]
Ru 0.0000 0.0875 0.2500 [4 per cell]

***

Relative energies, meV per atom: entry 1 964; entry 2 0; entry 3 94.

***

Entry 1
La6HgRu2: optimized geometry, PBE.

As for the calculated density: 7.96 Mg/m³. The value obtained for the spin magnetization is 0.0000 μB per atom.

a b c (Å): 10.3989 5.4364 9.2732
angles (deg): 90.00 100.22 90.00
Space group C2/m (No. 12)
One atom of each set of equivalent atoms:
La 0.0407 0.0000 0.3502 [4 per cell]
La 0.1566 0.5000 0.8780 [4 per cell]
La 0.2049 0.5000 0.3389 [4 per cell]
Hg 0.0000 0.0000 0.0000 [2 per cell]
Ru 0.1173 0.5000 0.6040 [4 per cell]

***

Entry 2
La6HgRu2: optimized geometry, PBE.

As for the calculated density: 7.57 Mg/m³. The value obtained for the spin magnetization is 0.0000 μB per atom.

a b c (Å): 16.2050 10.6553 6.5302
angles (deg): 90.00 105.84 90.00
Space group C2/c (No. 15)
One atom of each set of equivalent atoms:
La 0.1070 0.0682 0.1702 [8 per cell]
La 0.1073 0.4323 0.1709 [8 per cell]
La 0.1943 0.2499 0.7149 [8 per cell]
Hg 0.0000 0.2509 0.7500 [4 per cell]
Ru 0.2497 0.0065 0.9998 [8 per cell]

***

Relative energies, meV per atom: entry 1 0; entry 2 32.

***

Entry 1
LaTl2HgRu: optimized geometry, PBE.

As for the calculated density: 9.13 Mg/m³. The value obtained for the spin magnetization is 0.2746 μB per atom.

a b c (Å): 5.4159 5.4159 5.2640
angles (deg): 90.00 90.00 90.00
Space group P4/mmm (No. 123)
One atom of each set of equivalent atoms:
La 0.0000 0.0000 0.0000 [1 per cell]
Tl 0.0000 0.5000 0.5000 [2 per cell]
Hg 0.5000 0.5000 0.5000 [1 per cell]
Ru 0.5000 0.5000 0.0000 [1 per cell]

***

Entry 2
LaTl2HgRu: optimized geometry, PBE.

As for the calculated density: 9.38 Mg/m³. The value obtained for the spin magnetization is 0.0000 μB per atom.

a b c (Å): 5.3766 5.3766 5.2037
angles (deg): 90.00 90.00 90.00
Space group P4/mmm (No. 123)
One atom of each set of equivalent atoms:
La 0.0000 0.0000 0.0000 [1 per cell]
Tl 0.0000 0.5000 0.5000 [2 per cell]
Hg 0.5000 0.5000 0.0000 [1 per cell]
Ru 0.0000 0.0000 0.5000 [1 per cell]

***

Relative energies, meV per atom: entry 1 892; entry 2 0.

***

Entry 1
La2TlHgRu: optimized geometry, PBE.

As for the calculated density: 8.33 Mg/m³. The value obtained for the spin magnetization is 0.0000 μB per atom.

a b c (Å): 5.4032 5.4032 5.3492
angles (deg): 90.00 90.00 90.00
Space group P4/mmm (No. 123)
One atom of each set of equivalent atoms:
La 0.0000 0.5000 0.0000 [2 per cell]
Tl 0.0000 0.0000 0.5000 [1 per cell]
Hg 0.5000 0.5000 0.5000 [1 per cell]
Ru 0.0000 0.0000 0.0000 [1 per cell]

***

Entry 2
La2TlHgRu: optimized geometry, PBE.

As for the calculated density: 9.24 Mg/m³. The value obtained for the spin magnetization is 0.0000 μB per atom.

a b c (Å): 8.5389 4.1557 8.5960
angles (deg): 90.00 112.46 90.00
Space group P2_1/m (No. 11)
One atom of each set of equivalent atoms:
La 0.0177 0.2500 0.2415 [2 per cell]
La 0.3420 0.7500 0.6226 [2 per cell]
Tl 0.3399 0.2500 0.9576 [2 per cell]
Hg 0.3137 0.7500 0.2216 [2 per cell]
Ru 0.1110 0.2500 0.6229 [2 per cell]

***

Entry 3
La2TlHgRu: optimized geometry, PBE.

As for the calculated density: 8.51 Mg/m³. The value obtained for the spin magnetization is 0.0000 μB per atom.

a b c (Å): 5.3210 5.3210 5.3994
angles (deg): 90.00 90.00 90.00
Space group P4/mmm (No. 123)
One atom of each set of equivalent atoms:
La 0.0000 0.5000 0.0000 [2 per cell]
Tl 0.0000 0.0000 0.5000 [1 per cell]
Hg 0.5000 0.5000 0.5000 [1 per cell]
Ru 0.5000 0.5000 0.0000 [1 per cell]

***

Relative energies, meV per atom: entry 1 87; entry 2 0; entry 3 137.

***

Entry 1
LaYHgRu: optimized geometry, PBE.

As for the calculated density: 8.99 Mg/m³. The value obtained for the spin magnetization is 0.0000 μB per atom.

a b c (Å): 3.5501 3.5501 7.7636
angles (deg): 90.00 90.00 90.00
Space group P4mm (No. 99)
One atom of each set of equivalent atoms:
La 0.0000 0.0000 0.0000 [1 per cell]
Y 0.0000 0.0000 0.5596 [1 per cell]
Hg 0.5000 0.5000 0.3034 [1 per cell]
Ru 0.5000 0.5000 0.7686 [1 per cell]

***

Entry 2
LaYHgRu: optimized geometry, PBE.

As for the calculated density: 9.03 Mg/m³. The value obtained for the spin magnetization is 0.0000 μB per atom.

a b c (Å): 7.3034 7.3034 7.3034
angles (deg): 90.00 90.00 90.00
Space group F-43m (No. 216)
One atom of each set of equivalent atoms:
La 0.0000 0.0000 0.0000 [4 per cell]
Y 0.0000 0.0000 0.5000 [4 per cell]
Hg 0.2500 0.2500 0.2500 [4 per cell]
Ru 0.2500 0.2500 0.7500 [4 per cell]

***

Relative energies, meV per atom: entry 1 0; entry 2 106.

***

Entry 1
La2HgS: optimized geometry, PBE.

As for the calculated density: 7.22 Mg/m³. The value obtained for the spin magnetization is 0.0002 μB per atom.

a b c (Å): 4.1132 4.1132 24.0359
angles (deg): 90.00 90.00 120.00
Space group R3m (No. 160, hexagonal axes)
One atom of each set of equivalent atoms:
La 0.0000 0.0000 0.0000 [3 per cell]
La 0.0000 0.0000 0.1939 [3 per cell]
Hg 0.0000 0.0000 0.7636 [3 per cell]
S 0.0000 0.0000 0.5950 [3 per cell]

***

Entry 2
La2HgS: optimized geometry, PBE.

As for the calculated density: 7.20 Mg/m³. The value obtained for the spin magnetization is 0.0000 μB per atom.

a b c (Å): 4.2031 4.2031 23.0951
angles (deg): 90.00 90.00 120.00
Space group R-3m (No. 166, hexagonal axes)
One atom of each set of equivalent atoms:
La 0.0000 0.0000 0.2380 [6 per cell]
Hg 0.0000 0.0000 0.0000 [3 per cell]
S 0.0000 0.0000 0.5000 [3 per cell]

***

Entry 3
La2HgS: optimized geometry, PBE.

As for the calculated density: 7.97 Mg/m³. The value obtained for the spin magnetization is 0.0000 μB per atom.

a b c (Å): 7.5207 7.5207 7.5207
angles (deg): 90.00 90.00 90.00
Space group Fm-3m (No. 225)
One atom of each set of equivalent atoms:
La 0.2500 0.2500 0.2500 [8 per cell]
Hg 0.0000 0.0000 0.0000 [4 per cell]
S 0.0000 0.0000 0.5000 [4 per cell]

***

Relative energies, meV per atom: entry 1 28; entry 2 0; entry 3 395.

***

Entry 1
LaHg3S: optimized geometry, PBE.

As for the calculated density: 5.75 Mg/m³. The value obtained for the spin magnetization is 0.0001 μB per atom.

a b c (Å): 6.0673 6.0673 6.0673
angles (deg): 90.00 90.00 90.00
Space group Pm-3m (No. 221)
One atom of each set of equivalent atoms:
La 0.0000 0.0000 0.0000 [1 per cell]
Hg 0.0000 0.0000 0.5000 [3 per cell]
S 0.5000 0.5000 0.5000 [1 per cell]

***

Entry 2
LaHg3S: optimized geometry, PBE.

As for the calculated density: 8.96 Mg/m³. The value obtained for the spin magnetization is 0.0000 μB per atom.

a b c (Å): 5.2315 5.2315 5.2315
angles (deg): 90.00 90.00 90.00
Space group Pm-3m (No. 221)
One atom of each set of equivalent atoms:
La 0.0000 0.0000 0.0000 [1 per cell]
Hg 0.0000 0.5000 0.5000 [3 per cell]
S 0.5000 0.5000 0.5000 [1 per cell]

***

Relative energies, meV per atom: entry 1 416; entry 2 0.

***

Entry 1
La2HgS2: optimized geometry, PBE.

As for the calculated density: 5.67 Mg/m³. The value obtained for the spin magnetization is 0.0000 μB per atom.

a b c (Å): 4.8377 4.8377 13.5836
angles (deg): 90.00 90.00 90.00
Space group I4/mmm (No. 139)
One atom of each set of equivalent atoms:
La 0.0000 0.0000 0.1457 [4 per cell]
Hg 0.0000 0.0000 0.5000 [2 per cell]
S 0.0000 0.5000 0.2500 [4 per cell]

***

Entry 2
La2HgS2: optimized geometry, PBE.

As for the calculated density: 7.29 Mg/m³. The value obtained for the spin magnetization is 0.0000 μB per atom.

a b c (Å): 8.1795 8.1795 3.6924
angles (deg): 90.00 90.00 90.00
Space group P4/mbm (No. 127)
One atom of each set of equivalent atoms:
La 0.1608 0.3392 0.0000 [4 per cell]
Hg 0.0000 0.0000 0.5000 [2 per cell]
S 0.1371 0.6371 0.5000 [4 per cell]

***

Relative energies, meV per atom: entry 1 95; entry 2 0.